No. 1
# KRbAgAs PBE-GGA optimized geometry
# Calculated density, g/cm3: 3.9
# Energy above the most stable polymorph in this dataset, meV per atom: 3
# Crystal system: orthorhombic
data_KRbAgAs
_symmetry_space_group_name_H-M 'A m a 2'
_symmetry_Int_Tables_number 40
_cell_length_a 6.237
_cell_length_b 8.028
_cell_length_c 10.368
_cell_angle_alpha 90.00
_cell_angle_beta 90.00
_cell_angle_gamma 90.00
loop_
_symmetry_equiv_pos_as_xyz
'x,y,z'
'-x,-y,z'
'-x+1/2,y,z'
'x+1/2,-y,z'
'x,y+1/2,z+1/2'
'-x,-y+1/2,z+1/2'
'-x+1/2,y+1/2,z+1/2'
'x+1/2,-y+1/2,z+1/2'
loop_
_atom_site_label
_atom_site_fract_x
_atom_site_fract_y
_atom_site_fract_z
_atom_site_occupancy
K1 0.250 0.146 0.000 1
Rb1 0.250 0.145 0.657 1
Ag1 0.000 0.000 0.330 1
As1 0.250 0.254 0.326 1

=====

No. 2
# KAgAsS2 PBE-GGA optimized geometry
# E_tot, Ry/atom: -0.286
# Calculated density, g/cm3: 3.7
# Crystal system: monoclinic
data_KAgAsS2
_symmetry_space_group_name_H-M 'P 1 21/c 1'
_symmetry_Int_Tables_number 14
_cell_length_a 8.179
_cell_length_b 5.284
_cell_length_c 11.858
_cell_angle_alpha 90.00
_cell_angle_beta 98.22
_cell_angle_gamma 90.00
loop_
_symmetry_equiv_pos_as_xyz
'x,y,z'
'-x,-y,-z'
'-x,y+1/2,-z+1/2'
'x,-y+1/2,z+1/2'
loop_
_atom_site_label
_atom_site_fract_x
_atom_site_fract_y
_atom_site_fract_z
_atom_site_occupancy
K1 0.071 0.223 0.126 1
Ag1 0.428 0.022 0.809 1
As1 0.379 0.632 0.960 1
S1 0.204 0.178 0.391 1
S2 0.302 0.734 0.133 1

=====

No. 3
# KAg2AsSe3S PBE-GGA optimized geometry
# E_tot, Ry/atom: -0.264
# Calculated density, g/cm3: 4.6
# Crystal system: monoclinic
data_KAg2AsSe3S
_symmetry_space_group_name_H-M 'C 1 m 1'
_symmetry_Int_Tables_number 8
_cell_length_a 8.942
_cell_length_b 9.885
_cell_length_c 6.581
_cell_angle_alpha 90.00
_cell_angle_beta 131.49
_cell_angle_gamma 90.00
loop_
_symmetry_equiv_pos_as_xyz
'x,y,z'
'x,-y,z'
'x+1/2,y+1/2,z'
'x+1/2,-y+1/2,z'
loop_
_atom_site_label
_atom_site_fract_x
_atom_site_fract_y
_atom_site_fract_z
_atom_site_occupancy
K1 0.000 0.000 0.000 1
Ag1 0.014 0.257 0.508 1
As1 0.015 0.500 0.026 1
Se1 0.163 0.304 0.017 1
Se2 0.169 0.000 0.634 1
S1 0.058 0.500 0.399 1

=====

No. 4
# K5Ag2As3Se9 PBE-GGA optimized geometry
# E_tot, Ry/atom: -0.265
# Calculated density, g/cm3: 3.8
# Crystal system: orthorhombic
data_K5Ag2As3Se9
_symmetry_space_group_name_H-M 'P n m a'
_symmetry_Int_Tables_number 62
_cell_length_a 12.821
_cell_length_b 12.752
_cell_length_c 14.234
_cell_angle_alpha 90.00
_cell_angle_beta 90.00
_cell_angle_gamma 90.00
loop_
_symmetry_equiv_pos_as_xyz
'x,y,z'
'-x,-y,-z'
'-x+1/2,-y,z+1/2'
'x+1/2,y,-z+1/2'
'x+1/2,-y+1/2,-z+1/2'
'-x+1/2,y+1/2,z+1/2'
'-x,y+1/2,-z'
'x,-y+1/2,z'
loop_
_atom_site_label
_atom_site_fract_x
_atom_site_fract_y
_atom_site_fract_z
_atom_site_occupancy
K1 0.019 0.078 0.173 1
K2 0.173 0.750 0.509 1
K3 0.175 0.076 0.506 1
Ag1 0.239 0.588 0.288 1
As1 0.021 0.250 0.912 1
As2 0.030 0.250 0.720 1
As3 0.249 0.750 0.798 1
Se1 0.040 0.596 0.351 1
Se2 0.076 0.250 0.347 1
Se3 0.125 0.100 0.936 1
Se4 0.142 0.750 0.934 1
Se5 0.212 0.250 0.678 1
Se6 0.214 0.599 0.704 1

=====

No. 5
# LaNdAg2As4 PBE-GGA optimized geometry
# E_tot, Ry/atom: -0.371
# Calculated density, g/cm3: 7.5
# Total magnetization, μB per atom: 0.0001
# Crystal system: tetragonal
data_LaNdAg2As4
_symmetry_space_group_name_H-M 'P 4 m m'
_symmetry_Int_Tables_number 99
_cell_length_a 4.091
_cell_length_b 4.091
_cell_length_c 10.628
_cell_angle_alpha 90.00
_cell_angle_beta 90.00
_cell_angle_gamma 90.00
loop_
_symmetry_equiv_pos_as_xyz
'x,y,z'
'-y,x,z'
'-x,-y,z'
'y,-x,z'
'-x,y,z'
'y,x,z'
'x,-y,z'
'-y,-x,z'
loop_
_atom_site_label
_atom_site_fract_x
_atom_site_fract_y
_atom_site_fract_z
_atom_site_occupancy
La1 0.000 0.000 0.000 1
Nd1 0.500 0.500 0.458 1
Ag1 0.000 0.500 0.727 1
As1 0.000 0.000 0.550 1
As2 0.000 0.500 0.232 1
As3 0.500 0.500 0.902 1

=====

No. 6
# LaNdAg2Sb2As2 PBE-GGA optimized geometry
# E_tot, Ry/atom: -0.354
# Calculated density, g/cm3: 7.6
# Total magnetization, μB per atom: 0.0004
# Crystal system: tetragonal
data_LaNdAg2Sb2As2
_symmetry_space_group_name_H-M 'P 4 m m'
_symmetry_Int_Tables_number 99
_cell_length_a 4.270
_cell_length_b 4.270
_cell_length_c 10.745
_cell_angle_alpha 90.00
_cell_angle_beta 90.00
_cell_angle_gamma 90.00
loop_
_symmetry_equiv_pos_as_xyz
'x,y,z'
'-y,x,z'
'-x,-y,z'
'y,-x,z'
'-x,y,z'
'y,x,z'
'x,-y,z'
'-y,-x,z'
loop_
_atom_site_label
_atom_site_fract_x
_atom_site_fract_y
_atom_site_fract_z
_atom_site_occupancy
La1 0.000 0.000 0.000 1
Nd1 0.500 0.500 0.435 1
Ag1 0.000 0.500 0.714 1
Sb1 0.000 0.000 0.535 1
Sb2 0.500 0.500 0.893 1
As1 0.000 0.500 0.221 1